Density functional theory data (PBE-GGA) for an optimized crystal structure of K13O2.

a b c (Å): 14.3922 14.3922 20.8960
angles (deg): 90.00 90.00 120.00
With the nearest neighbours (Å) after each atom.
Space group R-3m (No. 166, hexagonal axes)
Symmetry-distinct sites (fractional):
K 0.0000 0.0000 0.0000 [3 per cell]  2 O 2.53
K 0.0921 0.1842 0.1568 [18 per cell]  1 O 2.41
K 0.0988 0.1977 0.3994 [18 per cell]  4 K 4.23-4.37
O 0.0000 0.0000 0.1211 [6 per cell]  4 K 2.41-2.53

## Properties
- uncorrected formation energy (eV/atom) = -0.284
- polymorph energy (0 for the lowest one) (meV per atom) = 132.0
- D(E_F) (states/eV per cell) = 38.32